[1]
Below is a crystal of KCd2Cu relaxed with PBEsol, with properties calculated at the SCAN level.

Values from the calculation:
Excess energy over the best structure of this formula in the dataset   377 meV/atom
Density   5.931 g/cm3
Energy relative to the elements   0.41 eV/atom
Total energy   -165.47 eV/cell
Size of the total moment   0.0000 μB per atom

```
data_KCd2Cu
_cell_length_a 6.164
_cell_length_b 10.407
_cell_length_c 2.859
_cell_angle_alpha 90.00
_cell_angle_beta 90.00
_cell_angle_gamma 90.00
_symmetry_space_group_name_H-M 'C m m m'
_symmetry_Int_Tables_number 65
_symmetry_space_group_name_Hall '-C 2 2'
loop_
_atom_site_label
_atom_site_type_symbol
_atom_site_fract_x
_atom_site_fract_y
_atom_site_fract_z
K1 K 0.000 0.000 0.000
Cd1 Cd 0.250 0.250 0.500
Cu1 Cu 0.000 0.500 0.000
```

***

[2]
Below is a crystal of LiTeCl2 relaxed with PBEsol, with properties calculated at the SCAN level.

Values from the calculation:
Excess energy over the best structure of this formula in the dataset   0 meV/atom
Density   4.286 g/cm3
Total energy   -58.54 eV/cell
Size of the total moment   0.1945 μB per atom

```
data_LiTeCl2
_cell_length_a 3.186
_cell_length_b 3.186
_cell_length_c 7.841
_cell_angle_alpha 90.00
_cell_angle_beta 90.00
_cell_angle_gamma 90.00
_symmetry_space_group_name_H-M 'P 4/m m m'
_symmetry_Int_Tables_number 123
_symmetry_space_group_name_Hall '-P 4 2'
loop_
_atom_site_label
_atom_site_type_symbol
_atom_site_fract_x
_atom_site_fract_y
_atom_site_fract_z
Li1 Li 0.000 0.000 0.000
Te1 Te 0.000 0.000 0.500
Cl1 Cl 0.500 0.500 0.194
```

***

[3]
Below is a crystal of LaZn2InRh relaxed with PBEsol, with properties calculated at the SCAN level.

Values from the calculation:
Density   5.054 g/cm3
Energy relative to the elements   1.59 eV/atom
Total energy   -129.33 eV/cell
Size of the total moment   0.1110 μB per atom

```
data_LaZn2InRh
_cell_length_a 5.255
_cell_length_b 5.255
_cell_length_c 5.798
_cell_angle_alpha 90.00
_cell_angle_beta 90.00
_cell_angle_gamma 90.00
_symmetry_space_group_name_H-M 'P 4/m m m'
_symmetry_Int_Tables_number 123
_symmetry_space_group_name_Hall '-P 4 2'
loop_
_atom_site_label
_atom_site_type_symbol
_atom_site_fract_x
_atom_site_fract_y
_atom_site_fract_z
La1 La 0.000 0.000 0.000
Zn1 Zn 0.000 0.500 0.000
In1 In 0.000 0.000 0.500
Rh1 Rh 0.500 0.500 0.500
```

***

[4]
Below is a crystal of Tb5Ni2Bi relaxed with PBEsol, with properties calculated at the SCAN level.

Values from the calculation:
Density   9.677 g/cm3
Energy relative to the elements   -0.51 eV/atom
Total energy   -1395.35 eV/cell
Size of the total moment   0.0000 μB per atom

```
data_Tb5Ni2Bi
_cell_length_a 7.611
_cell_length_b 7.611
_cell_length_c 13.284
_cell_angle_alpha 90.00
_cell_angle_beta 90.00
_cell_angle_gamma 90.00
_symmetry_space_group_name_H-M 'I 4/m c m'
_symmetry_Int_Tables_number 140
_symmetry_space_group_name_Hall '-I 4 2c'
loop_
_atom_site_label
_atom_site_type_symbol
_atom_site_fract_x
_atom_site_fract_y
_atom_site_fract_z
Tb1 Tb 0.000 0.000 0.000
Tb2 Tb 0.156 0.344 0.134
Ni1 Ni 0.131 0.369 0.500
Bi1 Bi 0.000 0.000 0.250
```

***

[5]
Below is a crystal of CuSb3P6O24 relaxed with PBEsol, with properties calculated at the SCAN level.

Values from the calculation:
Density   3.772 g/cm3
Total energy   -1220.47 eV/cell
Size of the total moment   0.0539 μB per atom

```
data_CuSb3P6O24
_cell_length_a 8.2637
_cell_length_b 8.2637
_cell_length_c 22.3030
_cell_angle_alpha 90.00
_cell_angle_beta 90.00
_cell_angle_gamma 120.00
_symmetry_space_group_name_H-M 'R 3'
_symmetry_Int_Tables_number 146
_symmetry_space_group_name_Hall 'R 3'
loop_
_atom_site_label
_atom_site_type_symbol
_atom_site_fract_x
_atom_site_fract_y
_atom_site_fract_z
Cu1 Cu 0.0000 0.0000 0.0000
Sb1 Sb 0.0000 0.0000 0.2082
Sb2 Sb 0.0000 0.0000 0.4933
Sb3 Sb 0.0000 0.0000 0.7005
P1 P 0.0033 0.2837 0.0978
P2 P 0.0055 0.7124 0.6018
O1 O 0.0013 0.7999 0.5404
O2 O 0.0346 0.2033 0.4395
O3 O 0.0872 0.2230 0.7515
O4 O 0.0912 0.2228 0.0500
O5 O 0.1423 0.4588 0.8267
O6 O 0.1672 0.7030 0.9292
O7 O 0.1983 0.7564 0.3167
O8 O 0.2024 0.7608 0.6156
```

***

[6]
Below is a crystal of Cd2IrCl relaxed with PBEsol, with properties calculated at the SCAN level.

Values from the calculation:
Excess energy over the best structure of this formula in the dataset   0 meV/atom
Density   9.725 g/cm3
Total energy   -277.43 eV/cell
Size of the total moment   0.0000 μB per atom

```
data_Cd2IrCl
_cell_length_a 2.864
_cell_length_b 4.204
_cell_length_c 12.831
_cell_angle_alpha 90.00
_cell_angle_beta 90.00
_cell_angle_gamma 90.00
_symmetry_space_group_name_H-M 'I m m m'
_symmetry_Int_Tables_number 71
_symmetry_space_group_name_Hall '-I 2 2'
loop_
_atom_site_label
_atom_site_type_symbol
_atom_site_fract_x
_atom_site_fract_y
_atom_site_fract_z
Cd1 Cd 0.000 0.000 0.189
Ir1 Ir 0.000 0.500 0.500
Cl1 Cl 0.000 0.500 0.000
```

***

[7]
Below is a crystal of Nd2CdPd2 relaxed with PBEsol, with properties calculated at the SCAN level.

Values from the calculation:
Density   8.973 g/cm3
Energy relative to the elements   -0.82 eV/atom
Total energy   -374.45 eV/cell
Size of the total moment   0.0000 μB per atom

```
data_Nd2CdPd2
_cell_length_a 7.680
_cell_length_b 7.680
_cell_length_c 3.851
_cell_angle_alpha 90.00
_cell_angle_beta 90.00
_cell_angle_gamma 90.00
_symmetry_space_group_name_H-M 'P 4/m b m'
_symmetry_Int_Tables_number 127
_symmetry_space_group_name_Hall '-P 4 2ab'
loop_
_atom_site_label
_atom_site_type_symbol
_atom_site_fract_x
_atom_site_fract_y
_atom_site_fract_z
Nd1 Nd 0.174 0.326 0.000
Cd1 Cd 0.000 0.000 0.500
Pd1 Pd 0.127 0.627 0.500
```

***

[8]
Below is a crystal of LaMgCl2 relaxed with PBEsol, with properties calculated at the SCAN level.

Values from the calculation:
Excess energy over the best structure of this formula in the dataset   0 meV/atom
Density   4.036 g/cm3
Total energy   -69.39 eV/cell
Size of the total moment   0.0000 μB per atom

```
data_LaMgCl2
_cell_length_a 3.685
_cell_length_b 4.430
_cell_length_c 5.899
_cell_angle_alpha 90.00
_cell_angle_beta 90.00
_cell_angle_gamma 90.00
_symmetry_space_group_name_H-M 'P m m m'
_symmetry_Int_Tables_number 47
_symmetry_space_group_name_Hall '-P 2 2'
loop_
_atom_site_label
_atom_site_type_symbol
_atom_site_fract_x
_atom_site_fract_y
_atom_site_fract_z
La1 La 0.000 0.000 0.000
Mg1 Mg 0.500 0.000 0.500
Cl1 Cl 0.000 0.500 0.500
Cl2 Cl 0.500 0.500 0.000
```

***

- Among the records above, which one has the highest total energy?
  LiTeCl2